1.
Density functional theory data (GGA-PBE) for an optimized crystal structure of PmPdPtAu. Values from VASP.

Cell and atoms, written as Quantum ESPRESSO input:
```
&SYSTEM
  ibrav = 0, nat = 4, ntyp = 4
/
ATOMIC_SPECIES
Pd 106.42 Pd.upf
Au 196.97 Au.upf
Pt 195.08 Pt.upf
Pm 145.00 Pm.upf
CELL_PARAMETERS angstrom
4.8063 0.0000 0.0000
2.4031 4.1623 0.0000
2.4031 1.3874 3.9243
ATOMIC_POSITIONS crystal
Pd 0.5000 0.5000 0.5000
Au 0.2500 0.2500 0.2500
Pt 0.0000 0.0000 0.0000
Pm 0.7500 0.7500 0.7500
```

E_form ... -265 kJ/mol of formula units
Space group ... F-43m (216)
Offset from the most stable computed form ... 0.41 eV per formula unit
M_tot ... 0.00 μB per formula unit

---

2.
Density functional theory data (GGA-PBE) for an optimized crystal structure of RbCrS2. Values from VASP.

Cell and atoms, written as Quantum ESPRESSO input:
```
&SYSTEM
  ibrav = 0, nat = 16, ntyp = 3
/
ATOMIC_SPECIES
S 32.06 S.upf
Rb 85.47 Rb.upf
Cr 52.00 Cr.upf
CELL_PARAMETERS angstrom
18.9921 0.0000 -0.4908
0.0000 3.6383 0.0000
-6.9318 0.0000 5.9795
ATOMIC_POSITIONS crystal
S 0.6420 0.5000 0.6754
S 0.1420 0.0000 0.1754
S 0.8420 0.0000 0.1991
S 0.3420 0.5000 0.6991
S 0.6580 0.5000 0.3009
S 0.8580 0.0000 0.8246
S 0.1580 0.0000 0.8009
S 0.3580 0.5000 0.3246
Rb 0.5507 0.0000 0.8514
Rb 0.4493 0.0000 0.1486
Rb 0.9493 0.5000 0.6486
Rb 0.0507 0.5000 0.3514
Cr 0.7436 0.5000 0.6379
Cr 0.2436 0.0000 0.1379
Cr 0.2564 0.5000 0.3621
Cr 0.7564 0.0000 0.8621
```

Formation energy without anion corrections ... -777 meV/atom
Space group ... C2/m (12)
M_tot ... 0.00 μB per formula unit

---

3.
Density functional theory data (GGA-PBE) for an optimized crystal structure of ThGaPd. Values from VASP.

Cell and atoms, written as Quantum ESPRESSO input:
```
&SYSTEM
  ibrav = 0, nat = 3, ntyp = 3
/
ATOMIC_SPECIES
Pd 106.42 Pd.upf
Ga 69.72 Ga.upf
Th 232.04 Th.upf
CELL_PARAMETERS angstrom
-1.9789 0.4781 4.2229
-4.5527 -0.9578 0.5772
-1.3083 -3.7967 2.4189
ATOMIC_POSITIONS crystal
Pd 0.2500 0.2500 0.2500
Ga 0.0000 0.0000 0.0000
Th 0.5000 0.5000 0.5000
```

E_form ... -186 kJ/mol of formula units
Space group ... F-43m (216)
M_tot ... 0.00 μB per formula unit

---

4.
Density functional theory data (GGA-PBE) for an optimized crystal structure of PmTiTlO4. Values from VASP.

Cell and atoms, written as Quantum ESPRESSO input:
```
&SYSTEM
  ibrav = 0, nat = 14, ntyp = 4
/
ATOMIC_SPECIES
O 16.00 O.upf
Ti 47.87 Ti.upf
Pm 145.00 Pm.upf
Tl 204.38 Tl.upf
CELL_PARAMETERS angstrom
6.1904 0.0000 0.1788
0.0000 6.1092 0.0000
-2.2219 0.0000 7.2683
ATOMIC_POSITIONS crystal
O 0.0796 0.9763 0.3412
O 0.5183 0.2500 0.4324
O 0.5244 0.2500 0.7968
O 0.4756 0.7500 0.2032
O 0.9204 0.4763 0.6588
O 0.0796 0.5237 0.3412
O 0.4817 0.7500 0.5676
O 0.9204 0.0237 0.6588
Ti 0.7180 0.2500 0.6518
Ti 0.2820 0.7500 0.3482
Pm 0.1916 0.2500 0.5595
Pm 0.8084 0.7500 0.4405
Tl 0.6842 0.7500 0.9027
Tl 0.3158 0.2500 0.0973
```

Formation energy without anion corrections ... -2638 meV/atom
Space group ... P2_1/m (11)
M_tot ... 0.00 μB per formula unit

---

5.
Density functional theory data (GGA-PBE) for an optimized crystal structure of TaReBAu2. Values from VASP.

Cell and atoms, written as Quantum ESPRESSO input:
```
&SYSTEM
  ibrav = 0, nat = 5, ntyp = 4
/
ATOMIC_SPECIES
B 10.81 B.upf
Au 196.97 Au.upf
Ta 180.95 Ta.upf
Re 186.21 Re.upf
CELL_PARAMETERS angstrom
-2.3196 0.1101 4.4387
1.2905 -3.5962 0.7636
4.1184 1.9247 2.1044
ATOMIC_POSITIONS crystal
B 0.0000 0.5000 0.0000
Au 0.0000 0.0000 0.5000
Au 0.5000 0.0000 0.0000
Ta 0.5000 0.5000 0.5000
Re 0.0000 0.0000 0.0000
```

E_form ... 741 kJ/mol of formula units
Space group ... P4/mmm (123)
M_tot ... 0.00 μB per formula unit

---

6.
Density functional theory data (GGA-PBE) for an optimized crystal structure of NdZrMo4. Values from VASP.

Cell and atoms, written as Quantum ESPRESSO input:
```
&SYSTEM
  ibrav = 0, nat = 6, ntyp = 3
/
ATOMIC_SPECIES
Mo 95.94 Mo.upf
Nd 144.24 Nd.upf
Zr 91.22 Zr.upf
CELL_PARAMETERS angstrom
-2.8333 2.3563 -4.0707
-2.1058 -3.0860 -4.0241
-5.4314 -0.7291 -0.3450
ATOMIC_POSITIONS crystal
Mo 0.6250 0.1249 0.6250
Mo 0.6250 0.6250 0.6250
Mo 0.6250 0.6250 0.1249
Mo 0.1249 0.6250 0.6250
Nd 0.0000 0.0000 0.0000
Zr 0.2500 0.2500 0.2500
```

E_form ... 65 kJ/mol of formula units
Space group ... F-43m (216)
M_tot ... 0.00 μB per formula unit

---

no.,V (Å³ per cell)
1,78.51
2,400.80
3,72.85
4,277.30
5,97.77
6,117.07